AsAuCl | PBE-GGA | optimized geometry

abc: 3.752 3.752 11.433
angles: 90.00 90.00 90.00
Atoms (fractional coordinates):
As: 0.000 0.000 0.000
As: 0.500 0.500 0.500
Au: 0.000 0.000 0.479
Au: 0.500 0.500 0.979
Cl: 0.000 0.000 0.196
Cl: 0.500 0.500 0.696

Distance to the lowest polymorph of the same formula (meV/atom): 77
Total magnetic moment (μB/f.u.): 0.0
Formation energy (no corrections) (meV per atom): -137
D(E_F) (states/eV per atom): 0.354